# 1
DFT (GGA-PBE) results for an optimized crystal structure of DyScOs.

- crystal system = cubic
- calculated formation energy (eV/atom) = -0.22
- DOS at the Fermi energy (states/eV per cell) = 4.71
- uncorrected energy (eV per atom) = -7.604

CIF file:
```
data_DyScOs
_space_group_name_H-M_alt 'F -4 3 m'
_space_group_IT_number 216
_space_group_name_Hall 'F -4 2 3'
_cell_length_a 6.562
_cell_length_b 6.562
_cell_length_c 6.562
_cell_angle_alpha 90.00
_cell_angle_beta 90.00
_cell_angle_gamma 90.00
loop_
_atom_site_label
_atom_site_fract_x
_atom_site_fract_y
_atom_site_fract_z
Dy1 0.000 0.000 0.000
Sc1 0.000 0.000 0.500
Os1 0.250 0.250 0.250
```

***

# 2
DFT (GGA-PBE) results for an optimized crystal structure of NaTm3Se4.

- crystal system = orthorhombic
- E_form (uncorrected) (eV/atom) = -1.677
- DOS at the Fermi energy (states/eV per cell) = 5.05
- uncorrected energy (eV per atom) = -5.261

CIF file:
```
data_NaTm3Se4
_space_group_name_H-M_alt 'C m m m'
_space_group_IT_number 65
_space_group_name_Hall '-C 2 2'
_cell_length_a 8.180
_cell_length_b 11.449
_cell_length_c 4.015
_cell_angle_alpha 90.00
_cell_angle_beta 90.00
_cell_angle_gamma 90.00
loop_
_atom_site_label
_atom_site_fract_x
_atom_site_fract_y
_atom_site_fract_z
Na1 0.000 0.000 0.000
Tm1 0.000 0.500 0.000
Tm2 0.250 0.250 0.500
Se1 0.000 0.251 0.000
Se2 0.245 0.500 0.500
```

***

# 3
DFT (GGA-PBE) results for an optimized crystal structure of SnSb2Mo2.

- crystal system = tetragonal
- E_form (uncorrected) (eV/atom) = 0.475
- DOS at the Fermi energy (states/eV per cell) = 9.43
- uncorrected energy (eV per atom) = -6.307

CIF file:
```
data_SnSb2Mo2
_space_group_name_H-M_alt 'P 4/m b m'
_space_group_IT_number 127
_space_group_name_Hall '-P 4 2ab'
_cell_length_a 8.154
_cell_length_b 8.154
_cell_length_c 3.143
_cell_angle_alpha 90.00
_cell_angle_beta 90.00
_cell_angle_gamma 90.00
loop_
_atom_site_label
_atom_site_fract_x
_atom_site_fract_y
_atom_site_fract_z
Sn1 0.000 0.000 0.000
Sb1 0.143 0.357 0.000
Mo1 0.146 0.646 0.500
```

***

# 4
DFT (GGA-PBE) results for an optimized crystal structure of Ce2BBr.

- crystal system = trigonal
- E_form (uncorrected) (eV/atom) = -0.654
- DOS at the Fermi energy (states/eV per cell) = 20.69
- uncorrected energy (eV per atom) = -5.709

CIF file:
```
data_Ce2BBr
_space_group_name_H-M_alt 'R -3 m'
_space_group_IT_number 166
_space_group_name_Hall '-R 3 2"'
_cell_length_a 3.9241
_cell_length_b 3.9241
_cell_length_c 21.6370
_cell_angle_alpha 90.00
_cell_angle_beta 90.00
_cell_angle_gamma 120.00
loop_
_atom_site_label
_atom_site_fract_x
_atom_site_fract_y
_atom_site_fract_z
Ce1 0.0000 0.0000 0.2305
B1 0.0000 0.0000 0.5000
Br1 0.0000 0.0000 0.0000
```

***

# 5
DFT (GGA-PBE) results for an optimized crystal structure of BiTe2F.

- crystal system = tetragonal
- E_form (uncorrected) (eV/atom) = -0.393
- DOS at the Fermi energy (states/eV per cell) = 10.61
- uncorrected energy (eV per atom) = -3.402

CIF file:
```
data_BiTe2F
_space_group_name_H-M_alt 'I -4 2 d'
_space_group_IT_number 122
_space_group_name_Hall 'I -4 2bw'
_cell_length_a 4.385
_cell_length_b 4.385
_cell_length_c 22.236
_cell_angle_alpha 90.00
_cell_angle_beta 90.00
_cell_angle_gamma 90.00
loop_
_atom_site_label
_atom_site_fract_x
_atom_site_fract_y
_atom_site_fract_z
Bi1 0.000 0.000 0.000
Te1 0.248 0.250 0.625
F1 0.000 0.000 0.500
```

***

# 6
DFT (GGA-PBE) results for an optimized crystal structure of HfBiTe2N.

- crystal system = tetragonal
- E_form (uncorrected) (eV/atom) = -0.093
- DOS at the Fermi energy (states/eV per cell) = 3.36
- uncorrected energy (eV per atom) = -5.781

CIF file:
```
data_HfBiTe2N
_space_group_name_H-M_alt 'P 4/m m m'
_space_group_IT_number 123
_space_group_name_Hall '-P 4 2'
_cell_length_a 5.779
_cell_length_b 5.779
_cell_length_c 3.994
_cell_angle_alpha 90.00
_cell_angle_beta 90.00
_cell_angle_gamma 90.00
loop_
_atom_site_label
_atom_site_fract_x
_atom_site_fract_y
_atom_site_fract_z
Hf1 0.000 0.000 0.000
Bi1 0.500 0.500 0.500
Te1 0.000 0.500 0.000
N1 0.000 0.000 0.500
```

***

# 7
DFT (GGA-PBE) results for an optimized crystal structure of CrAsRu2.

- crystal system = tetragonal
- calculated formation energy (eV/atom) = 0.07
- DOS at the Fermi energy (states/eV per cell) = 5.85
- uncorrected energy (eV per atom) = -8.133

CIF file:
```
data_CrAsRu2
_space_group_name_H-M_alt 'I -4 m 2'
_space_group_IT_number 119
_space_group_name_Hall 'I -4 -2'
_cell_length_a 3.733
_cell_length_b 3.733
_cell_length_c 7.940
_cell_angle_alpha 90.00
_cell_angle_beta 90.00
_cell_angle_gamma 90.00
loop_
_atom_site_label
_atom_site_fract_x
_atom_site_fract_y
_atom_site_fract_z
Cr1 0.000 0.000 0.000
As1 0.000 0.500 0.250
Ru1 0.000 0.000 0.500
Ru2 0.000 0.500 0.750
```

***

# 8
DFT (GGA-PBE) results for an optimized crystal structure of LiCaAl2Au4.

- crystal system = trigonal
- calculated formation energy (eV/atom) = -0.59
- DOS at the Fermi energy (states/eV per cell) = 7.40
- uncorrected energy (eV per atom) = -3.652

CIF file:
```
data_LiCaAl2Au4
_space_group_name_H-M_alt 'R -3 m'
_space_group_IT_number 166
_space_group_name_Hall '-R 3 2"'
_cell_length_a 4.4632
_cell_length_b 4.4632
_cell_length_c 25.7955
_cell_angle_alpha 90.00
_cell_angle_beta 90.00
_cell_angle_gamma 120.00
loop_
_atom_site_label
_atom_site_fract_x
_atom_site_fract_y
_atom_site_fract_z
Li1 0.0000 0.0000 0.0000
Ca1 0.0000 0.0000 0.5000
Al1 0.0000 0.0000 0.2610
Au1 0.0000 0.0000 0.0997
Au2 0.0000 0.0000 0.3676
```

***

Copy entry 8 word for word.
DFT (GGA-PBE) results for an optimized crystal structure of LiCaAl2Au4.

- crystal system = trigonal
- calculated formation energy (eV/atom) = -0.59
- DOS at the Fermi energy (states/eV per cell) = 7.40
- uncorrected energy (eV per atom) = -3.652

CIF file:
```
data_LiCaAl2Au4
_space_group_name_H-M_alt 'R -3 m'
_space_group_IT_number 166
_space_group_name_Hall '-R 3 2"'
_cell_length_a 4.4632
_cell_length_b 4.4632
_cell_length_c 25.7955
_cell_angle_alpha 90.00
_cell_angle_beta 90.00
_cell_angle_gamma 120.00
loop_
_atom_site_label
_atom_site_fract_x
_atom_site_fract_y
_atom_site_fract_z
Li1 0.0000 0.0000 0.0000
Ca1 0.0000 0.0000 0.5000
Al1 0.0000 0.0000 0.2610
Au1 0.0000 0.0000 0.0997
Au2 0.0000 0.0000 0.3676
```